Entry from Alexandria: a relaxed structure of LiFe2Ir (PBE).

abc: 2.618 2.618 8.954
angles: 90.00 90.00 115.99
Last column: magnetic moment on the atom in μB.
Fractional coordinates of all 4 atoms:
Li (0.500, 0.500, 0.750)  -0.05
Fe (0.000, 0.000, 0.005)  2.84
Fe (0.000, 0.000, 0.495)  2.84
Ir (0.500, 0.500, 0.250)  0.65

Computed properties:
Fermi-level density of states: 0.888 states/eV/atom
Formation energy: 0.22 eV per atom
Size of the total moment: 6.26 μB per cell
SG: Cmmm



Entry from Alexandria: a relaxed structure of NaLa2CoMo (PBE).

abc: 5.293 5.367 5.293
angles: 90.00 90.00 90.00
Last column: magnetic moment on the atom in μB.
Fractional coordinates of all 5 atoms:
Mo (0.000, 0.000, 0.000)  -0.23
Co (0.500, 0.500, 0.500)  -0.30
Na (0.000, 0.500, 0.000)  -0.01
La (0.000, 0.000, 0.500)  0.03
La (0.500, 0.000, 0.000)  0.02

Computed properties:
Fermi-level density of states: 2.237 states/eV/atom
Formation energy: 1.12 eV per atom
Size of the total moment: 0.43 μB per cell
SG: P4/mmm



Entry from Alexandria: a relaxed structure of DyMnBr (PBE).

abc: 3.809 3.809 12.282
angles: 81.08 81.08 60.00
Fractional coordinates of all 6 atoms:
Mn (0.164, 0.164, 0.507)
Mn (0.836, 0.836, 0.493)
Br (0.278, 0.278, 0.166)
Br (0.722, 0.722, 0.834)
Dy (0.442, 0.442, 0.674)
Dy (0.558, 0.558, 0.326)

Computed properties:
Fermi-level density of states: 0.328 states/eV/atom
Size of the total moment: 0.00 μB per cell
Raw total energy: -6.05 eV per atom
SG: R-3m



Entry from Alexandria: a relaxed structure of HgSbSe2 (PBE).

abc: 6.523 6.523 4.453
angles: 93.53 93.53 35.29
Fractional coordinates of all 4 atoms:
Se (0.973, 0.973, 0.196)
Se (0.719, 0.719, 0.625)
Sb (0.305, 0.305, 0.004)
Hg (0.502, 0.502, 0.675)

Computed properties:
Excess energy over the best structure of this formula in the dataset: 88 meV/atom
Fermi-level density of states: 0.408 states/eV/atom
Size of the total moment: 0.00 μB per cell
SG: Cm



Entry from Alexandria: a relaxed structure of CaTaIO2 (PBE).

abc: 4.102 4.102 5.795
angles: 90.00 90.00 90.00
Fractional coordinates of all 5 atoms:
I (0.000, 0.000, 0.500)
Ta (0.000, 0.000, 0.000)
Ca (0.500, 0.500, 0.500)
O (0.000, 0.500, 0.000)
O (0.500, 0.000, 0.000)

Computed properties:
Excess energy over the best structure of this formula in the dataset: 0 meV/atom
Fermi-level density of states: 0.534 states/eV/atom
Size of the total moment: 0.00 μB per cell
SG: P4/mmm



Entry from Alexandria: a relaxed structure of LaAl4Cu2 (PBE).

abc: 4.145 7.118 17.093
angles: 90.00 90.00 90.00
Fractional coordinates of all 28 atoms:
Cu (0.750, 0.325, 0.460)
Cu (0.250, 0.976, 0.762)
Cu (0.750, 0.476, 0.738)
Cu (0.250, 0.825, 0.040)
Cu (0.250, 0.675, 0.540)
Cu (0.750, 0.175, 0.960)
Cu (0.250, 0.524, 0.262)
Cu (0.750, 0.024, 0.238)
Al (0.750, 0.171, 0.810)
Al (0.250, 0.829, 0.190)
Al (0.750, 0.778, 0.963)
Al (0.750, 0.003, 0.096)
Al (0.750, 0.709, 0.302)
Al (0.250, 0.671, 0.690)
Al (0.250, 0.278, 0.537)
Al (0.750, 0.497, 0.596)
Al (0.750, 0.791, 0.802)
Al (0.750, 0.722, 0.463)
Al (0.250, 0.291, 0.698)
Al (0.250, 0.997, 0.904)
Al (0.250, 0.503, 0.404)
Al (0.250, 0.209, 0.198)
Al (0.750, 0.329, 0.310)
Al (0.250, 0.222, 0.037)
La (0.250, 0.492, 0.884)
La (0.250, 0.008, 0.384)
La (0.750, 0.992, 0.616)
La (0.750, 0.508, 0.116)

Computed properties:
Excess energy over the best structure of this formula in the dataset: 0 meV/atom
Fermi-level density of states: 0.322 states/eV/atom
Formation energy: -0.40 eV per atom
Size of the total moment: 0.00 μB per cell
SG: Pnma



Entry from Alexandria: a relaxed structure of Sr8As5O (PBE).

abc: 8.149 8.149 8.149
angles: 110.64 107.16 110.64
Fractional coordinates of all 14 atoms:
Sr (0.657, 0.392, 0.890)
Sr (0.019, 0.171, 0.748)
Sr (0.734, 0.233, 0.343)
Sr (0.252, 0.271, 0.423)
Sr (0.499, 0.608, 0.266)
Sr (0.152, 0.729, 0.981)
Sr (0.110, 0.767, 0.501)
Sr (0.577, 0.829, 0.848)
As (0.022, 0.389, 0.143)
As (0.367, 0.121, 0.978)
As (0.500, 0.000, 0.500)
As (0.857, 0.879, 0.246)
As (0.754, 0.611, 0.633)
O (0.250, 0.500, 0.750)

Computed properties:
Fermi-level density of states: 0.648 states/eV/atom
Size of the total moment: 0.00 μB per cell
Raw total energy: -4.23 eV per atom
SG: I-4



Entry from Alexandria: a relaxed structure of Ti2CoNi9 (PBE).

abc: 3.579 3.579 10.770
angles: 90.00 90.00 90.00
Last column: magnetic moment on the atom in μB.
Fractional coordinates of all 12 atoms:
Ni (0.000, 0.500, 0.500)  0.01
Ni (0.500, 0.500, 0.668)  0.07
Ni (0.500, 0.500, 0.000)  0.56
Ni (0.000, 0.500, 0.838)  0.38
Ni (0.500, 0.000, 0.500)  0.01
Ni (0.500, 0.000, 0.162)  0.38
Ni (0.500, 0.500, 0.332)  0.07
Ni (0.500, 0.000, 0.838)  0.38
Ni (0.000, 0.500, 0.162)  0.38
Ti (0.000, 0.000, 0.670)  -0.02
Ti (0.000, 0.000, 0.330)  -0.02
Co (0.000, 0.000, 0.000)  1.94

Computed properties:
Fermi-level density of states: 0.834 states/eV/atom
Formation energy: -0.29 eV per atom
Size of the total moment: 3.99 μB per cell
SG: P4/mmm



Entry from Alexandria: a relaxed structure of BaHoAs2Pd2 (PBE).

abc: 4.358 4.358 8.514
angles: 90.00 90.00 120.00
Fractional coordinates of all 6 atoms:
Ho (0.000, 0.000, 0.500)
Pd (0.333, 0.667, 0.710)
Pd (0.667, 0.333, 0.290)
Ba (0.000, 0.000, 0.000)
As (0.333, 0.667, 0.281)
As (0.667, 0.333, 0.719)

Computed properties:
Fermi-level density of states: 0.451 states/eV/atom
Formation energy: -1.07 eV per atom
Size of the total moment: 0.00 μB per cell
SG: P-3m1



Entry from Alexandria: a relaxed structure of Dy6Y3Tm2Th (PBE).

abc: 6.138 6.138 11.774
angles: 94.98 94.98 119.97
Fractional coordinates of all 12 atoms:
Y (0.833, 0.167, 0.500)
Y (0.500, 0.500, 0.500)
Y (0.167, 0.833, 0.500)
Dy (0.753, 0.753, 0.248)
Dy (0.917, 0.586, 0.752)
Dy (0.414, 0.083, 0.248)
Dy (0.247, 0.247, 0.752)
Dy (0.586, 0.917, 0.752)
Dy (0.083, 0.414, 0.248)
Tm (0.667, 0.333, 0.000)
Tm (0.333, 0.667, 0.000)
Th (0.000, 0.000, 0.000)

Computed properties:
Fermi-level density of states: 1.352 states/eV/atom
Formation energy: 0.03 eV per atom
Size of the total moment: 0.00 μB per cell
SG: C2/m



Entry from Alexandria: a relaxed structure of Ce3Pt2Au3 (PBE).

abc: 5.556 7.514 17.516
angles: 90.00 90.00 90.00
Last column: magnetic moment on the atom in μB.
Fractional coordinates of all 32 atoms:
Ce (0.876, 0.534, 0.606)  0.71
Ce (0.835, 0.847, 0.250)  0.49
Ce (0.124, 0.466, 0.394)  0.71
Ce (0.376, 0.966, 0.394)  0.71
Ce (0.165, 0.153, 0.750)  0.49
Ce (0.376, 0.966, 0.106)  0.71
Ce (0.124, 0.466, 0.106)  0.71
Ce (0.624, 0.034, 0.894)  0.71
Ce (0.624, 0.034, 0.606)  0.71
Ce (0.335, 0.653, 0.750)  0.49
Ce (0.876, 0.534, 0.894)  0.71
Ce (0.665, 0.347, 0.250)  0.49
Au (0.914, 0.815, 0.026)  0.00
Au (0.086, 0.185, 0.526)  0.00
Au (0.690, 0.315, 0.750)  0.00
Au (0.414, 0.685, 0.974)  0.00
Au (0.586, 0.315, 0.026)  0.00
Au (0.190, 0.185, 0.250)  0.00
Au (0.914, 0.815, 0.474)  0.00
Au (0.414, 0.685, 0.526)  0.00
Au (0.810, 0.815, 0.750)  0.00
Au (0.586, 0.315, 0.474)  0.00
Au (0.310, 0.685, 0.250)  0.00
Au (0.086, 0.185, 0.974)  0.00
Pt (0.630, 0.617, 0.127)  -0.03
Pt (0.870, 0.117, 0.373)  -0.03
Pt (0.630, 0.617, 0.373)  -0.03
Pt (0.870, 0.117, 0.127)  -0.03
Pt (0.370, 0.383, 0.627)  -0.03
Pt (0.130, 0.883, 0.873)  -0.03
Pt (0.370, 0.383, 0.873)  -0.03
Pt (0.130, 0.883, 0.627)  -0.03

Computed properties:
Fermi-level density of states: 2.229 states/eV/atom
Formation energy: -0.82 eV per atom
Size of the total moment: 8.72 μB per cell
SG: Pnma



Entry from Alexandria: a relaxed structure of Li3InC (PBE).

abc: 4.183 4.183 4.183
angles: 90.00 90.00 90.00
Fractional coordinates of all 5 atoms:
C (0.000, 0.000, 0.000)
Li (0.000, 0.500, 0.000)
Li (0.500, 0.000, 0.000)
Li (0.000, 0.000, 0.500)
In (0.500, 0.500, 0.500)

Computed properties:
Excess energy over the best structure of this formula in the dataset: 0 meV/atom
Fermi-level density of states: 0.282 states/eV/atom
Formation energy: 0.34 eV per atom
Size of the total moment: 0.00 μB per cell
SG: Pm-3m



Entry from Alexandria: a relaxed structure of Ac2PmVN4 (PBE).

abc: 3.550 6.378 13.034
angles: 90.00 90.00 106.16
Last column: magnetic moment on the atom in μB.
Fractional coordinates of all 16 atoms:
Ac (0.365, 0.730, 0.542)  0.01
Ac (0.635, 0.270, 0.458)  0.01
Ac (0.635, 0.270, 0.042)  0.01
Ac (0.365, 0.730, 0.958)  0.01
N (0.000, 0.000, 0.500)  0.00
N (0.719, 0.438, 0.853)  -0.01
N (0.601, 0.201, 0.250)  -0.02
N (0.719, 0.438, 0.647)  -0.01
N (0.000, 0.000, 0.000)  0.00
N (0.399, 0.799, 0.750)  -0.02
N (0.281, 0.562, 0.353)  -0.01
N (0.281, 0.562, 0.147)  -0.01
Pm (0.100, 0.201, 0.750)  0.04
Pm (0.900, 0.799, 0.250)  0.04
V (0.819, 0.639, 0.750)  0.21
V (0.181, 0.361, 0.250)  0.21

Computed properties:
Fermi-level density of states: 0.543 states/eV/atom
Size of the total moment: 0.60 μB per cell
Raw total energy: -7.86 eV per atom
SG: Cmcm



Entry from Alexandria: a relaxed structure of Re3Mo (PBE).

abc: 5.334 2.797 4.792
angles: 90.00 63.31 105.20
Fractional coordinates of all 4 atoms:
Re (0.477, 0.238, 0.097)
Re (0.523, 0.762, 0.574)
Re (0.000, 0.500, 0.502)
Mo (0.000, 0.000, 0.993)

Computed properties:
Excess energy over the best structure of this formula in the dataset: 22 meV/atom
Fermi-level density of states: 1.042 states/eV/atom
Formation energy: 0.11 eV per atom
Size of the total moment: 0.00 μB per cell
SG: Imm2



Entry from Alexandria: a relaxed structure of SiAg2As2 (PBE).

abc: 8.058 8.058 2.969
angles: 90.00 90.00 90.00
Fractional coordinates of all 10 atoms:
Si (0.500, 0.500, 0.000)
Si (0.000, 0.000, 0.000)
As (0.680, 0.180, 0.000)
As (0.320, 0.820, 0.000)
As (0.820, 0.680, 0.000)
As (0.180, 0.320, 0.000)
Ag (0.877, 0.377, 0.500)
Ag (0.623, 0.877, 0.500)
Ag (0.123, 0.623, 0.500)
Ag (0.377, 0.123, 0.500)

Computed properties:
Fermi-level density of states: 0.433 states/eV/atom
Size of the total moment: 0.00 μB per cell
Raw total energy: -3.70 eV per atom
SG: P4/mbm



Entry from Alexandria: a relaxed structure of NbSiNi3 (PBE).

abc: 4.157 4.157 4.157
angles: 90.00 90.00 90.00
Fractional coordinates of all 5 atoms:
Ni (0.000, 0.500, 0.000)
Ni (0.500, 0.000, 0.000)
Ni (0.000, 0.000, 0.500)
Si (0.000, 0.000, 0.000)
Nb (0.500, 0.500, 0.500)

Computed properties:
Excess energy over the best structure of this formula in the dataset: 653 meV/atom
Fermi-level density of states: 1.393 states/eV/atom
Size of the total moment: 0.05 μB per cell
SG: Pm-3m



Entry from Alexandria: a relaxed structure of BaSc2Au2 (PBE).

abc: 5.165 5.165 6.507
angles: 66.62 66.62 90.00
Last column: magnetic moment on the atom in μB.
Fractional coordinates of all 5 atoms:
Sc (0.345, 0.345, 0.310)  0.27
Sc (0.655, 0.655, 0.690)  0.27
Au (0.750, 0.250, 0.500)  0.02
Au (0.250, 0.750, 0.500)  0.02
Ba (0.000, 0.000, 0.000)  0.03

Computed properties:
Excess energy over the best structure of this formula in the dataset: 131 meV/atom
Fermi-level density of states: 1.308 states/eV/atom
Formation energy: -0.41 eV per atom
Size of the total moment: 1.07 μB per cell
SG: I4/mmm



Entry from Alexandria: a relaxed structure of Ac7In3Sn (PBE).

abc: 6.398 8.812 8.812
angles: 91.15 111.49 111.49
Fractional coordinates of all 11 atoms:
In (0.500, 0.000, 0.000)
In (0.000, 0.768, 0.232)
In (0.000, 0.232, 0.768)
Ac (0.335, 0.066, 0.602)
Ac (0.665, 0.398, 0.934)
Ac (0.180, 0.179, 0.179)
Ac (0.665, 0.934, 0.398)
Ac (0.335, 0.602, 0.066)
Ac (0.000, 0.500, 0.500)
Ac (0.820, 0.821, 0.821)
Sn (0.500, 0.500, 0.500)

Computed properties:
Fermi-level density of states: 0.951 states/eV/atom
Formation energy: -0.25 eV per atom
Size of the total moment: 0.00 μB per cell
SG: C2/m



Entry from Alexandria: a relaxed structure of LaTb2Th2 (PBE).

abc: 3.597 3.597 14.747
angles: 90.00 90.00 120.00
Fractional coordinates of all 5 atoms:
La (0.000, 0.000, 0.500)
Tb (0.333, 0.667, 0.297)
Tb (0.667, 0.333, 0.703)
Th (0.667, 0.333, 0.098)
Th (0.333, 0.667, 0.902)

Computed properties:
Excess energy over the best structure of this formula in the dataset: 18 meV/atom
Fermi-level density of states: 1.389 states/eV/atom
Formation energy: 0.04 eV per atom
Size of the total moment: 0.00 μB per cell
SG: P-3m1



Entry from Alexandria: a relaxed structure of ZnReSe2 (PBE).

abc: 8.354 8.354 8.354
angles: 22.70 22.70 22.70
Fractional coordinates of all 4 atoms:
Se (0.903, 0.903, 0.903)
Se (0.097, 0.097, 0.097)
Zn (0.500, 0.500, 0.500)
Re (0.000, 0.000, 0.000)

Computed properties:
Excess energy over the best structure of this formula in the dataset: 479 meV/atom
Fermi-level density of states: 0.889 states/eV/atom
Size of the total moment: 0.00 μB per cell
SG: R-3m



Entry from Alexandria: a relaxed structure of ZrSc2Sb (PBE).

abc: 3.801 3.801 6.359
angles: 90.00 90.00 90.00
Fractional coordinates of all 4 atoms:
Zr (0.000, 0.000, 0.506)
Sc (0.000, 0.000, 0.990)
Sc (0.500, 0.500, 0.257)
Sb (0.500, 0.500, 0.748)

Computed properties:
Fermi-level density of states: 0.901 states/eV/atom
Size of the total moment: 0.00 μB per cell
Raw total energy: -6.78 eV per atom
SG: P4mm



Entry from Alexandria: a relaxed structure of Nd8Mg (PBE).

abc: 5.160 8.126 8.126
angles: 84.22 71.49 71.49
Fractional coordinates of all 9 atoms:
Mg (0.000, 0.000, 0.000)
Nd (0.665, 0.000, 0.669)
Nd (0.332, 0.668, 0.668)
Nd (0.000, 0.332, 0.668)
Nd (0.000, 0.668, 0.332)
Nd (0.665, 0.669, 0.000)
Nd (0.335, 0.331, 0.000)
Nd (0.335, 0.000, 0.331)
Nd (0.668, 0.332, 0.332)

Computed properties:
Excess energy over the best structure of this formula in the dataset: 0 meV/atom
Fermi-level density of states: 1.581 states/eV/atom
Formation energy: 0.02 eV per atom
Size of the total moment: 0.00 μB per cell
SG: I4/mmm



Entry from Alexandria: a relaxed structure of DyBeGa2Pt4 (PBE).

abc: 4.282 4.282 8.607
angles: 75.60 75.60 60.00
Fractional coordinates of all 8 atoms:
Pt (0.406, 0.406, 0.783)
Pt (0.863, 0.863, 0.411)
Pt (0.137, 0.137, 0.589)
Pt (0.594, 0.594, 0.217)
Dy (0.000, 0.000, 0.000)
Be (0.500, 0.500, 0.500)
Ga (0.246, 0.246, 0.263)
Ga (0.754, 0.754, 0.737)

Computed properties:
Fermi-level density of states: 0.364 states/eV/atom
Formation energy: -0.85 eV per atom
Size of the total moment: 0.00 μB per cell
SG: R-3m